Ho6Ga2Ir: optimized geometry, GGA-PBE. Values from VASP.

```
&SYSTEM
  ibrav = 0, nat = 18, ntyp = 3
/
ATOMIC_SPECIES
Ho 164.93 Ho.upf
Ga 69.72 Ga.upf
Ir 192.22 Ir.upf
ATOMIC_POSITIONS angstrom
Ho -2.030 1.506 4.229
Ho -4.694 2.669 8.997
Ho -0.346 5.619 4.200
Ho -3.010 6.906 8.967
Ho 0.830 0.260 2.537
Ho -1.834 3.915 7.305
Ho 2.462 4.435 2.230
Ho -0.202 8.090 6.998
Ho 3.638 1.444 0.568
Ho 0.974 2.731 5.336
Ho 5.322 5.681 0.539
Ho 2.658 6.844 5.306
Ga -2.979 1.041 7.190
Ga -0.315 3.134 2.422
Ga 0.943 5.216 7.114
Ga 3.607 7.309 2.346
Ir 0.000 0.000 0.000
Ir -2.664 4.175 4.768
CELL_PARAMETERS angstrom
5.956 0.000 0.000
0.000 8.350 0.000
-5.328 0.000 9.536
```

Output
- Spin magnetization: 0.000 μB per cell
- DFT formation energy: -0.44 eV/atom